(1)
Density functional theory data (PBE) for an optimized crystal structure of LaCoTc2Ni.

The structure belongs to space group P4/mmm (No. 123); the cell edges are 4.498, 4.498 and 5.162 Å and the angles 90.00°, 90.00° and 90.00°. The distinct sites, in fractional coordinates, are La at (0.000, 0.000, 0.000), Co at (0.500, 0.500, 0.000), Tc at (0.000, 0.500, 0.500) and Ni at (0.000, 0.000, 0.500).

The value obtained for the total energy is -6.439 eV per atom. As for the calculated density: 7.20 Mg/m³. As for the formation energy: 1.27 eV per atom.

=====

(2)
Density functional theory data (PBE) for an optimized crystal structure of LaYCoNi.

The structure belongs to space group F-43m (No. 216); the cell edges are 6.890, 6.890 and 6.890 Å and the angles 90.00°, 90.00° and 90.00°. The distinct sites, in fractional coordinates, are La at (0.000, 0.000, 0.000), Y at (0.000, 0.000, 0.500), Co at (0.250, 0.250, 0.250) and Ni at (0.250, 0.250, 0.750).

The value obtained for the total energy is -6.217 eV per atom. As for the calculated density: 7.01 Mg/m³. As for the formation energy: -0.15 eV per atom.